A plane-wave DFT calculation with PBE-GGA was carried out for a geometry-optimized Sr2AlPb structure.

a b c (Å): 8.142 8.142 8.142
angles (deg): 90.00 90.00 90.00
Sites, in units of the cell vectors:
Sr1 0.000 0.000 0.000
Sr2 0.000 0.500 0.500
Sr3 0.250 0.250 0.250
Sr4 0.250 0.750 0.750
Sr5 0.500 0.000 0.500
Sr6 0.500 0.500 0.000
Sr7 0.750 0.250 0.750
Sr8 0.750 0.750 0.250
Al1 0.250 0.250 0.750
Al2 0.250 0.750 0.250
Al3 0.750 0.250 0.250
Al4 0.750 0.750 0.750
Pb1 0.000 0.000 0.500
Pb2 0.000 0.500 0.000
Pb3 0.500 0.000 0.000
Pb4 0.500 0.500 0.500

Output
SG = F-43m
ΔE_f = 2 meV per atom

=====

A plane-wave DFT calculation with PBE-GGA was carried out for a geometry-optimized Dy4TePt structure.

a b c (Å): 8.306 3.945 19.585
angles (deg): 90.00 90.00 90.00
Sites, in units of the cell vectors:
Dy1 0.016 0.250 0.069
Dy2 0.041 0.750 0.217
Dy3 0.137 0.750 0.652
Dy4 0.143 0.750 0.449
Dy5 0.357 0.250 0.949
Dy6 0.363 0.250 0.152
Dy7 0.459 0.250 0.717
Dy8 0.484 0.750 0.569
Dy9 0.516 0.250 0.431
Dy10 0.541 0.750 0.283
Dy11 0.637 0.750 0.848
Dy12 0.643 0.750 0.051
Dy13 0.857 0.250 0.551
Dy14 0.863 0.250 0.348
Dy15 0.959 0.250 0.783
Dy16 0.984 0.750 0.931
Te1 0.243 0.250 0.314
Te2 0.257 0.750 0.814
Te3 0.743 0.250 0.186
Te4 0.757 0.750 0.686
Pt1 0.228 0.250 0.550
Pt2 0.272 0.750 0.050
Pt3 0.728 0.250 0.950
Pt4 0.772 0.750 0.450

Output
formation energy without anion corrections = -0.912 eV/atom
SG = Pnma

=====

| no. | DOS(E_F) (states/eV/atom) | distance to the lowest polymorph of the same formula (meV/atom) |
| --- | --- | --- |
| 1 | 0.8430 | 302 |
| 2 | 0.9589 | 0 |